[1]
A plane-wave DFT calculation with GGA-PBE was carried out for a relaxed structure of SrAsRh2.

The structure in CIF format:
```
data_SrAsRh2
_symmetry_space_group_name_H-M 'P 4/n m m'
_symmetry_Int_Tables_number 129
_cell_length_a 4.088
_cell_length_b 4.088
_cell_length_c 9.721
_cell_angle_alpha 90.00
_cell_angle_beta 90.00
_cell_angle_gamma 90.00
loop_
_symmetry_equiv_pos_as_xyz
'x,y,z'
'-x,-y,-z'
'-y+1/2,x,z'
'y+1/2,-x,-z'
'-x+1/2,-y+1/2,z'
'x+1/2,y+1/2,-z'
'y,-x+1/2,z'
'-y,x+1/2,-z'
'x+1/2,-y,-z'
'-x+1/2,y,z'
'-y,-x,-z'
'y,x,z'
'-x,y+1/2,-z'
'x,-y+1/2,z'
'y+1/2,x+1/2,-z'
'-y+1/2,-x+1/2,z'
loop_
_atom_site_label
_atom_site_type_symbol
_atom_site_fract_x
_atom_site_fract_y
_atom_site_fract_z
_atom_site_occupancy
Sr1 Sr 0.250 0.250 0.204 1
As1 As 0.250 0.250 0.648 1
Rh1 Rh 0.250 0.250 0.894 1
Rh2 Rh 0.250 0.750 0.500 1
```

Summary:
- Spin magnetization: 0.00 μB per atom
- Calculated total energy: -5.7329 eV/atom


[2]
A plane-wave DFT calculation with GGA-PBE was carried out for a relaxed structure of SrAsRh2.

The structure in CIF format:
```
data_SrAsRh2
_symmetry_space_group_name_H-M 'C 1 2/m 1'
_symmetry_Int_Tables_number 12
_symmetry_space_group_name_Hall '-C 2y'
_cell_length_a 6.121
_cell_length_b 9.063
_cell_length_c 3.056
_cell_angle_alpha 90.00
_cell_angle_beta 118.95
_cell_angle_gamma 90.00
loop_
_atom_site_label
_atom_site_type_symbol
_atom_site_fract_x
_atom_site_fract_y
_atom_site_fract_z
_atom_site_occupancy
Sr1 Sr 0.000 0.000 0.000 1
As1 As 0.000 0.500 0.000 1
Rh1 Rh 0.250 0.250 0.500 1
```

Summary:
- Spin magnetization: 0.00 μB per atom
- Calculated total energy: -5.2188 eV/atom